# 1
Here is a geometry-optimized SrIn2I4 structure from the Alexandria database. Energies are from PBE-GGA.

Cell: 4.8181 9.2434 9.5116 Å, 122.59 104.67 90.00°
Closest atoms and distances in Å follow each position.
Sites, in units of the cell vectors:
1 In 0.2855 0.2614 0.5711  6 I 3.38-3.76
2 In 0.7145 0.7386 0.4289  6 I 3.38-3.76
3 I 0.6313 0.2633 0.2626  2 Sr 3.32
4 I 0.1177 0.8311 0.2354  1 Sr 3.30, 3 In 3.38-3.42
5 I 0.8823 0.1689 0.7646  1 Sr 3.30, 3 In 3.38-3.42
6 I 0.3687 0.7367 0.7374  2 Sr 3.32
7 Sr 0.0000 0.0000 0.0000  6 I 3.30-3.32

- DOS at the Fermi energy (states/eV/f.u.) = 0.00
- E_form (uncorrected) (eV/atom) = -0.97
- total magnetization (μB/f.u.) = 0.00
- ΔE to the lowest computed polymorph (eV/f.u.) = 0.05
- space group = C2/m


# 2
Here is a geometry-optimized SrIn2I6 structure from the Alexandria database. Energies are from PBE-GGA.

Cell: 8.6457 8.6457 10.2534 Å, 65.06 65.06 60.00°
Closest atoms and distances in Å follow each position.
Sites, in units of the cell vectors:
1 I 0.4192 0.4177 0.2695  1 In 2.82
2 I 0.5947 0.6020 0.7299  1 In 2.82
3 I 0.8937 0.4192 0.2695  1 In 2.82
4 I 0.0734 0.5947 0.7299  1 In 2.82
5 I 0.4177 0.8937 0.2695  1 In 2.82
6 I 0.6020 0.0734 0.7299  1 In 2.82
7 In 0.2822 0.2822 0.1534  1 In 2.76, 3 I 2.82
8 In 0.3848 0.3848 0.8457  1 In 2.76, 3 I 2.82
9 Sr 0.6667 0.6667 0.9998  6 I 3.39

- DOS at the Fermi energy (states/eV/f.u.) = 0.00
- E_form (uncorrected) (eV/atom) = -0.86
- total magnetization (μB/f.u.) = 0.00
- ΔE to the lowest computed polymorph (eV/f.u.) = 0.00
- space group = R3


# 3
Here is a geometry-optimized Sr2In2I7 structure from the Alexandria database. Energies are from PBE-GGA.

Cell: 8.8028 8.6128 8.6128 Å, 111.01 93.65 93.65°
Closest atoms and distances in Å follow each position.
Sites, in units of the cell vectors:
1 In 0.6062 0.7214 0.7214  3 I 2.97-3.22
2 In 0.3938 0.2786 0.2786  3 I 2.97-3.22
3 I 0.2180 0.0445 0.4423  1 In 3.22, 2 Sr 3.32-3.33
4 I 0.7820 0.5577 0.9555  1 In 3.22, 2 Sr 3.32-3.33
5 I 0.2180 0.4423 0.0445  1 In 3.22, 2 Sr 3.32-3.33
6 I 0.7820 0.9555 0.5577  1 In 3.22, 2 Sr 3.32-3.33
7 I 0.5000 0.0000 0.0000  2 In 2.97
8 I 0.2323 0.5799 0.5799  2 Sr 3.36, 2 In 3.41-3.42
9 I 0.7677 0.4201 0.4201  2 Sr 3.36, 2 In 3.41-3.42
10 Sr 0.0000 0.6847 0.3153  6 I 3.32-3.36
11 Sr 0.0000 0.3153 0.6847  6 I 3.32-3.36

- DOS at the Fermi energy (states/eV/f.u.) = 5.54
- E_form (uncorrected) (eV/atom) = -1.05
- total magnetization (μB/f.u.) = 0.00
- ΔE to the lowest computed polymorph (eV/f.u.) = 0.00
- space group = C2/m


# 4
Here is a geometry-optimized SrInI6 structure from the Alexandria database. Energies are from PBE-GGA.

Cell: 7.7559 7.7833 7.9718 Å, 61.16 62.01 60.36°
Closest atoms and distances in Å follow each position.
Sites, in units of the cell vectors:
1 I 0.0467 0.4168 0.7528  1 In 2.98
2 I 0.2201 0.9561 0.2427  1 In 2.94
3 I 0.7799 0.0439 0.7573  1 In 2.94
4 I 0.9533 0.5832 0.2472  1 In 2.98
5 I 0.4113 0.7824 0.7580  1 In 2.97
6 I 0.5887 0.2176 0.2420  1 In 2.97
7 In 0.0000 0.0000 0.0000  6 I 2.94-2.98
8 Sr 0.5000 0.5000 0.5000  6 I 3.33-3.34

- DOS at the Fermi energy (states/eV/f.u.) = 11.84
- E_form (uncorrected) (eV/atom) = -0.72
- total magnetization (μB/f.u.) = 0.01
- space group = P-1


# 5
Here is a geometry-optimized Sr2InI structure from the Alexandria database. Energies are from PBE-GGA.

Cell: 4.4453 4.4453 9.7053 Å, 76.76 76.76 60.00°
Closest atoms and distances in Å follow each position.
Sites, in units of the cell vectors:
1 I 0.4986 0.4986 0.5042  6 Sr 3.55-3.62
2 Sr 0.2562 0.2562 0.2314  3 In 3.37, 3 I 3.62
3 Sr 0.0780 0.0780 0.7659  3 In 3.37, 3 I 3.55
4 In 0.6672 0.6672 0.9985  6 Sr 3.37

- DOS at the Fermi energy (states/eV/f.u.) = 0.80
- E_form (uncorrected) (eV/atom) = -0.78
- total magnetization (μB/f.u.) = 0.00
- ΔE to the lowest computed polymorph (eV/f.u.) = 0.09
- space group = R3m


# 6
Here is a geometry-optimized SrIn2I4 structure from the Alexandria database. Energies are from PBE-GGA.

Cell: 6.5322 6.5322 9.4852 Å, 69.86 69.86 90.00°
Closest atoms and distances in Å follow each position.
Sites, in units of the cell vectors:
1 I 0.0000 0.5000 0.0000  2 Sr 3.27
2 I 0.1935 0.1935 0.6129  1 In 3.10, 1 Sr 3.21
3 I 0.5000 0.0000 0.0000  2 Sr 3.27
4 I 0.8065 0.8065 0.3871  1 In 3.10, 1 Sr 3.21
5 In 0.3805 0.3805 0.2390  1 I 3.10
6 In 0.6195 0.6195 0.7610  1 I 3.10
7 Sr 0.0000 0.0000 0.0000  6 I 3.21-3.27

- DOS at the Fermi energy (states/eV/f.u.) = 0.00
- E_form (uncorrected) (eV/atom) = -0.89
- total magnetization (μB/f.u.) = 0.00
- ΔE to the lowest computed polymorph (eV/f.u.) = 0.60
- space group = I4/mmm